The following is a DFT calculation (GGA+U) of a relaxed Cs2Rb4Co2O5 crystal.

```
data_Cs2Rb4Co2O5
_cell_length_a 7.068
_cell_length_b 11.708
_cell_length_c 6.976
_cell_angle_alpha 90.00
_cell_angle_beta 91.16
_cell_angle_gamma 90.00
_space_group_name_H-M_alt 'C 1 2/m 1'
_space_group_IT_number 12
loop_
_space_group_symop_operation_xyz
'x,y,z'
'-x,-y,-z'
'-x,y,-z'
'x,-y,z'
'x+1/2,y+1/2,z'
'-x+1/2,-y+1/2,-z'
'-x+1/2,y+1/2,-z'
'x+1/2,-y+1/2,z'
loop_
_atom_site_label
_atom_site_fract_x
_atom_site_fract_y
_atom_site_fract_z
Cs1 0.171 0.000 0.294
Rb1 0.000 0.263 0.000
Rb2 0.000 0.283 0.500
Co1 0.203 0.500 0.195
O1 0.000 0.500 0.000
O2 0.208 0.139 0.730
```

Values from the calculation:
The energy above the most stable polymorph in this dataset comes out at 0.4 meV per atom. The calculation puts the volume at 22.2 Å³ per atom.